(1)
Computed, not measured: a relaxed GaCu5Pd6 crystal at the PBE-GGA level of DFT.

abc: 6.7677 6.7677 6.0685
angles: 90.00 90.00 143.13
Closest atoms and distances in Å follow each position.
Positions (direct):
Ga 0.0000 0.0000 0.0000  8 Pd 2.60-2.61
Cu 0.0000 0.0000 0.5000  8 Pd 2.60-2.64
Cu 0.3289 0.6711 0.0000  8 Pd 2.60-2.66
Cu 0.3329 0.6671 0.5000  8 Pd 2.63-2.64
Cu 0.6671 0.3329 0.5000  8 Pd 2.63-2.64
Cu 0.6711 0.3289 0.0000  8 Pd 2.60-2.66
Pd 0.1647 0.8353 0.2495  7 Cu 2.60-2.64, 1 Ga 2.60
Pd 0.1647 0.8353 0.7505  7 Cu 2.60-2.64, 1 Ga 2.60
Pd 0.5000 0.5000 0.2458  2 Ga 2.61, 6 Cu 2.64-2.66
Pd 0.5000 0.5000 0.7542  2 Ga 2.61, 6 Cu 2.64-2.66
Pd 0.8353 0.1647 0.2495  7 Cu 2.60-2.64, 1 Ga 2.60
Pd 0.8353 0.1647 0.7505  7 Cu 2.60-2.64, 1 Ga 2.60

Calculated values
- E (eV/atom) = -4.68
- space group = Cmmm, No. 65

---

(2)
Computed, not measured: a relaxed Li2Mg2ZnGaAu2 crystal at the PBE-GGA level of DFT.

abc: 4.5076 4.5076 6.3761
angles: 90.00 90.00 90.00
Closest atoms and distances in Å follow each position.
Positions (direct):
Li 0.0000 0.5000 0.2504  4 Mg 2.76, 2 Zn 2.76, 2 Ga 2.76
Li 0.5000 0.0000 0.7496  4 Mg 2.76, 2 Zn 2.76, 2 Ga 2.76
Mg 0.0000 0.0000 0.0000  4 Au 2.76, 4 Li 2.76
Mg 0.5000 0.5000 0.5000  4 Li 2.76, 4 Au 2.76
Zn 0.0000 0.0000 0.5000  4 Li 2.76, 4 Au 2.76
Ga 0.5000 0.5000 0.0000  4 Au 2.76, 4 Li 2.76
Au 0.0000 0.5000 0.7502  4 Mg 2.76, 2 Ga 2.76, 2 Zn 2.76
Au 0.5000 0.0000 0.2498  4 Mg 2.76, 2 Ga 2.76, 2 Zn 2.76

Calculated values
- E (eV/atom) = -2.68
- space group = P-4m2, No. 115

---

(3)
Computed, not measured: a relaxed HoTmMo crystal at the PBE-GGA level of DFT.

abc: 4.8799 4.8799 4.8799
angles: 60.00 60.00 60.00
Closest atoms and distances in Å follow each position.
Positions (direct):
Ho 0.0000 0.0000 0.0000  4 Tm 2.99
Tm 0.2500 0.2500 0.2500  4 Mo 2.99, 4 Ho 2.99
Mo 0.5000 0.5000 0.5000  4 Tm 2.99

Calculated values
- space group = F-43m, No. 216
- offset from the most stable computed form (meV per atom) = 0
- E_form (meV per atom) = 1208

---

(4)
Computed, not measured: a relaxed Pu2Sc crystal at the PBE-GGA level of DFT.

abc: 9.3462 9.3462 9.3462
angles: 60.00 60.00 60.00
Closest atoms and distances in Å follow each position.
Positions (direct):
Pu 0.0000 0.0000 0.0000  2 Sc 2.86
Pu 0.0000 0.0000 0.5000  2 Sc 2.86
Pu 0.0000 0.5000 0.0000  2 Sc 2.86
Pu 0.5000 0.0000 0.0000  2 Sc 2.86
Sc 0.1250 0.1250 0.1250  4 Pu 2.86
Sc 0.8750 0.8750 0.8750  4 Pu 2.86

Calculated values
- space group = Fd-3m, No. 227
- E_form (meV per atom) = 2239